No. 1
! Mg2CdBi, optimized geometry, DFT GGA-PBE; values from VASP
! formation energy	-0.064	eV per atom
! energy above the most stable polymorph in this dataset	37	meV per atom
! space-group type	No. 123
&SYSTEM
  ibrav = 0, nat = 4, ntyp = 3
/
ATOMIC_SPECIES
Mg 24.30 Mg.upf
Cd 112.41 Cd.upf
Bi 208.98 Bi.upf
ATOMIC_POSITIONS angstrom
Mg 4.7863 -2.8761 0.5402
Mg 1.3954 -0.8385 0.1575
Cd -1.3130 -1.9903 1.0373
Bi 1.7778 -3.8476 1.3862
CELL_PARAMETERS angstrom
-0.9729 -0.9789 3.4085
-1.6532 -3.0017 -1.3339
6.1817 -3.7146 0.6977

---

No. 2
! Pm2Ga2Co2N, optimized geometry, DFT GGA-PBE; values from VASP
! E_form (uncorrected)	-0.653	eV/atom
! space-group type	No. 12
&SYSTEM
  ibrav = 0, nat = 7, ntyp = 4
/
ATOMIC_SPECIES
Ga 69.72 Ga.upf
Pm 145.00 Pm.upf
N 14.01 N.upf
Co 58.93 Co.upf
ATOMIC_POSITIONS angstrom
Ga -7.4066 -2.2216 -0.6300
Ga -5.5637 1.1635 -0.5336
Pm -10.5414 -1.8657 -0.9940
Pm -2.4289 0.8076 -0.1696
N 0.0000 0.0000 0.0000
Co -5.3250 -1.0955 -1.2511
Co -7.6454 0.0374 0.0875
CELL_PARAMETERS angstrom
-1.9533 3.2971 -0.5701
-5.0903 -1.2659 -3.0471
-5.9267 -3.0894 2.4536

---

No. 3
! GaGeH, optimized geometry, DFT GGA-PBE; values from VASP
! energy above the most stable polymorph in this dataset	35	meV per atom
! space-group type	No. 1
&SYSTEM
  ibrav = 0, nat = 6, ntyp = 3
/
ATOMIC_SPECIES
H 1.01 H.upf
Ge 72.64 Ge.upf
Ga 69.72 Ga.upf
ATOMIC_POSITIONS angstrom
H 2.0728 0.6421 4.0403
H 1.7596 -1.5260 5.0554
Ge 2.5938 0.6433 0.0304
Ge -0.0571 2.8101 2.5167
Ga 2.1050 2.8378 1.3059
Ga -0.7804 0.6345 3.6323
CELL_PARAMETERS angstrom
4.3902 -0.0058 0.0052
0.0031 4.3747 -0.0151
-2.3971 -2.1637 5.1711

---

No. 4
! TlSnRu2, optimized geometry, DFT GGA-PBE; values from VASP
! formation energy	0.766	eV per atom
! space-group type	No. 122
&SYSTEM
  ibrav = 0, nat = 8, ntyp = 3
/
ATOMIC_SPECIES
Tl 204.38 Tl.upf
Sn 118.71 Sn.upf
Ru 101.07 Ru.upf
ATOMIC_POSITIONS angstrom
Tl -6.9701 -3.3614 3.0274
Tl 0.0000 0.0000 0.0000
Sn -3.4921 -3.1560 6.8478
Sn -3.0429 -2.9813 2.9305
Ru -5.5580 -2.6938 5.3099
Ru -5.0174 -2.4295 1.3046
Ru -8.6139 -5.5917 8.0376
Ru -1.7352 -2.3198 5.0983
CELL_PARAMETERS angstrom
-6.5209 -3.1867 -0.8899
0.4352 -2.7759 6.7509
-4.3765 -0.5549 4.0142